(1)
# MgPaO5

A relaxed MgPaO5 crystal (PBE-GGA, the Alexandria database).

Values from the calculation:
* crystal system: monoclinic
* calculated density: 5.251 g/cm3
* magnetic moment: 0.15 μB per atom
* total DFT energy (no corrections): -7.3816 eV per atom
* formation energy from raw total energies: -2.256 eV/atom

Geometry as CIF:
```
data_MgPaO5
_cell_length_a 5.456
_cell_length_b 5.456
_cell_length_c 8.269
_cell_angle_alpha 101.60
_cell_angle_beta 102.20
_cell_angle_gamma 112.03
_space_group_name_H-M_alt 'P 1'
_space_group_IT_number 1
loop_
_space_group_symop_operation_xyz
'x,y,z'
loop_
_atom_site_label
_atom_site_type_symbol
_atom_site_fract_x
_atom_site_fract_y
_atom_site_fract_z
Mg1 Mg 0.678 0.428 0.250
Mg2 Mg 0.322 0.572 0.750
Pa1 Pa 0.000 0.000 0.000
Pa2 Pa 0.500 0.000 0.500
O1 O 0.873 0.242 0.128
O2 O 0.045 0.596 0.458
O3 O 0.386 0.255 0.628
O4 O 0.349 0.099 0.250
O5 O 0.637 0.586 0.042
O6 O 0.363 0.414 0.958
O7 O 0.651 0.901 0.750
O8 O 0.614 0.745 0.372
O9 O 0.955 0.404 0.542
O10 O 0.127 0.758 0.872
```


(2)
# Be2AlGa2Co5

A relaxed Be2AlGa2Co5 crystal (PBE-GGA, the Alexandria database).

Values from the calculation:
* crystal system: tetragonal
* calculated density: 7.323 g/cm3
* DFT formation energy: -1.802 eV per formula unit
* magnetic moment: 0.00 μB per atom
* total DFT energy (no corrections): -5.4580 eV per atom

Geometry as CIF:
```
data_Be2AlGa2Co5
_cell_length_a 2.874
_cell_length_b 8.695
_cell_length_c 8.695
_cell_angle_alpha 90.00
_cell_angle_beta 90.00
_cell_angle_gamma 90.00
_space_group_name_H-M_alt 'P 1'
_space_group_IT_number 1
loop_
_space_group_symop_operation_xyz
'x,y,z'
loop_
_atom_site_label
_atom_site_type_symbol
_atom_site_fract_x
_atom_site_fract_y
_atom_site_fract_z
Be1 Be 0.000 0.125 0.625
Be2 Be 0.000 0.875 0.375
Be3 Be 0.000 0.625 0.875
Be4 Be 0.000 0.375 0.125
Al1 Al 0.000 0.000 0.000
Al2 Al 0.000 0.500 0.500
Ga1 Ga 0.000 0.673 0.173
Ga2 Ga 0.000 0.327 0.827
Ga3 Ga 0.000 0.173 0.327
Ga4 Ga 0.000 0.827 0.673
Co1 Co 0.500 0.206 0.074
Co2 Co 0.500 0.794 0.926
Co3 Co 0.500 0.074 0.794
Co4 Co 0.500 0.706 0.426
Co5 Co 0.500 0.926 0.206
Co6 Co 0.500 0.294 0.574
Co7 Co 0.500 0.574 0.706
Co8 Co 0.500 0.426 0.294
Co9 Co 0.500 0.500 0.000
Co10 Co 0.500 0.000 0.500
```


(3)
# Be6Co5Ru

A relaxed Be6Co5Ru crystal (PBE-GGA, the Alexandria database).

Values from the calculation:
* crystal system: orthorhombic
* calculated density: 6.808 g/cm3
* DFT formation energy: -3.346 eV per formula unit
* magnetic moment: 0.26 μB per atom
* total DFT energy (no corrections): -5.8757 eV per atom

Geometry as CIF:
```
data_Be6Co5Ru
_cell_length_a 3.716
_cell_length_b 5.291
_cell_length_c 5.882
_cell_angle_alpha 90.00
_cell_angle_beta 108.43
_cell_angle_gamma 90.00
_space_group_name_H-M_alt 'P 1'
_space_group_IT_number 1
loop_
_space_group_symop_operation_xyz
'x,y,z'
loop_
_atom_site_label
_atom_site_type_symbol
_atom_site_fract_x
_atom_site_fract_y
_atom_site_fract_z
Be1 Be 0.828 0.739 0.658
Be2 Be 0.828 0.261 0.658
Be3 Be 0.500 0.263 0.000
Be4 Be 0.500 0.737 0.000
Be5 Be 0.172 0.739 0.342
Be6 Be 0.172 0.261 0.342
Co1 Co 0.667 0.500 0.332
Co2 Co 0.331 0.000 0.662
Co3 Co 0.000 0.500 0.000
Co4 Co 0.669 0.000 0.338
Co5 Co 0.333 0.500 0.668
Ru1 Ru 0.000 0.000 0.000
```


(4)
# LaMgMo2

A relaxed LaMgMo2 crystal (PBE-GGA, the Alexandria database).

Values from the calculation:
* crystal system: tetragonal
* calculated density: 6.657 g/cm3
* DFT formation energy: 2.106 eV per formula unit
* magnetic moment: 0.00 μB per atom
* total DFT energy (no corrections): -6.5194 eV per atom

Geometry as CIF:
```
data_LaMgMo2
_cell_length_a 3.636
_cell_length_b 3.636
_cell_length_c 6.700
_cell_angle_alpha 90.00
_cell_angle_beta 90.00
_cell_angle_gamma 90.00
_space_group_name_H-M_alt 'P 1'
_space_group_IT_number 1
loop_
_space_group_symop_operation_xyz
'x,y,z'
loop_
_atom_site_label
_atom_site_type_symbol
_atom_site_fract_x
_atom_site_fract_y
_atom_site_fract_z
La1 La 0.500 0.500 0.250
Mg1 Mg 0.500 0.500 0.750
Mo1 Mo 0.000 0.000 0.920
Mo2 Mo 0.000 0.000 0.580
```


(5)
# HfZnFe2

A relaxed HfZnFe2 crystal (PBE-GGA, the Alexandria database).

Values from the calculation:
* crystal system: tetragonal
* calculated density: 9.423 g/cm3
* DFT formation energy: 1.551 eV per formula unit
* magnetic moment: 0.92 μB per atom
* total DFT energy (no corrections): -6.6504 eV per atom

Geometry as CIF:
```
data_HfZnFe2
_cell_length_a 6.875
_cell_length_b 6.875
_cell_length_c 5.538
_cell_angle_alpha 51.63
_cell_angle_beta 51.63
_cell_angle_gamma 90.00
_space_group_name_H-M_alt 'P 1'
_space_group_IT_number 1
loop_
_space_group_symop_operation_xyz
'x,y,z'
loop_
_atom_site_label
_atom_site_type_symbol
_atom_site_fract_x
_atom_site_fract_y
_atom_site_fract_z
Zn1 Zn 0.500 0.500 0.000
Zn2 Zn 0.250 0.750 0.500
Hf1 Hf 0.000 0.000 0.000
Hf2 Hf 0.750 0.250 0.500
Fe1 Fe 0.605 0.125 0.250
Fe2 Fe 0.145 0.625 0.250
Fe3 Fe 0.375 0.395 0.750
Fe4 Fe 0.875 0.855 0.750
```


(6)
# CuP2IrO

A relaxed CuP2IrO crystal (PBE-GGA, the Alexandria database).

Values from the calculation:
* crystal system: tetragonal
* calculated density: 6.574 g/cm3
* magnetic moment: 0.00 μB per atom
* offset from the most stable computed form: 0.000 kcal/mol of atoms
* total DFT energy (no corrections): -5.2773 eV per atom
* formation energy from raw total energies: 0.470 eV/atom

Geometry as CIF:
```
data_CuP2IrO
_cell_length_a 4.791
_cell_length_b 4.791
_cell_length_c 3.672
_cell_angle_alpha 90.00
_cell_angle_beta 90.00
_cell_angle_gamma 90.00
_space_group_name_H-M_alt 'P 1'
_space_group_IT_number 1
loop_
_space_group_symop_operation_xyz
'x,y,z'
loop_
_atom_site_label
_atom_site_type_symbol
_atom_site_fract_x
_atom_site_fract_y
_atom_site_fract_z
P1 P 0.000 0.500 0.000
P2 P 0.500 0.000 0.000
Ir1 Ir 0.000 0.000 0.000
O1 O 0.000 0.000 0.500
Cu1 Cu 0.500 0.500 0.500
```


Q: total DFT energy (no corrections) of number 1 (MgPaO5)?
A: -7.3816 eV per atom